Material: LiCrNiAu2
Method: DFT, PBE-GGA
State: relaxed

Lattice parameters (Å, degrees): 4.3607 4.2755 4.3607 90.00 90.00 90.00
Last column: nearest neighbours and their distance in Å.
Element x y z (fractional)
Ni: 0.5000 0.5000 0.5000  8 Au 3.05, 4 Cr 3.08
Li: 0.0000 0.0000 0.0000  2 Cr 2.14, 4 Au 2.18
Au: 0.0000 0.0000 0.5000  2 Li 2.18
Au: 0.5000 0.0000 0.0000  2 Li 2.18
Cr: 0.0000 0.5000 0.0000  2 Li 2.14

Calculated values
As for the density of states at the Fermi level: 1.011 states/eV/cell. Its formation energy is 717.1 meV per atom. For the total moment, the calculation gives 4.90 μB/cell.



Material: LiCrSbAu
Method: DFT, PBE-GGA
State: relaxed

Lattice parameters (Å, degrees): 4.6430 4.6430 4.6430 60.00 60.00 60.00
Last column: nearest neighbours and their distance in Å.
Element x y z (fractional)
Sb: 0.5000 0.5000 0.5000  4 Cr 2.84, 4 Li 2.84
Li: 0.2500 0.2500 0.2500  4 Sb 2.84, 4 Au 2.84
Au: 0.0000 0.0000 0.0000  4 Cr 2.84, 4 Li 2.84
Cr: 0.7500 0.7500 0.7500  4 Sb 2.84, 4 Au 2.84

Calculated values
The formation energy from raw total energies is -3.875 kcal/mol of atoms. As for the density of states at the Fermi level: 1.349 states/eV/cell. For the total moment, the calculation gives 3.57 μB/cell.



Material: LiCrSnAu
Method: DFT, PBE-GGA
State: relaxed

Lattice parameters (Å, degrees): 4.5941 4.5941 4.5941 60.00 60.00 60.00
Last column: nearest neighbours and their distance in Å.
Element x y z (fractional)
Cr: 0.0000 0.0000 0.0000  4 Sn 2.81, 4 Au 2.81
Au: 0.7500 0.7500 0.7500  4 Li 2.81, 4 Cr 2.81
Sn: 0.2500 0.2500 0.2500  4 Cr 2.81, 4 Li 2.81
Li: 0.5000 0.5000 0.5000  4 Sn 2.81, 4 Au 2.81

Calculated values
As for the density of states at the Fermi level: 2.750 states/eV/cell. Its formation energy is -135.3 meV per atom. For the total moment, the calculation gives 3.41 μB/cell.



Material: LiTlCr2Au
Method: DFT, PBE-GGA
State: relaxed

Lattice parameters (Å, degrees): 4.5844 4.6274 4.5844 90.00 90.00 90.00
Last column: nearest neighbours and their distance in Å.
Element x y z (fractional)
Cr: 0.0000 0.0000 0.5000  2 Li 2.29
Cr: 0.5000 0.0000 0.0000  2 Li 2.29
Tl: 0.0000 0.5000 0.0000  2 Li 2.31
Au: 0.5000 0.5000 0.5000  4 Tl 3.24, 8 Cr 3.26
Li: 0.0000 0.0000 0.0000  4 Cr 2.29, 2 Tl 2.31

Calculated values
As for the density of states at the Fermi level: 3.433 states/eV/cell. Its formation energy is 946.9 meV per atom. For the total moment, the calculation gives 8.25 μB/cell.



Material: Li2YCrAu
Method: DFT, PBE-GGA
State: relaxed

Lattice parameters (Å, degrees): 4.6555 5.4965 4.6555 90.00 90.00 90.00
Last column: nearest neighbours and their distance in Å.
Element x y z (fractional)
Y: 0.0000 0.5000 0.0000  2 Cr 2.75
Cr: 0.0000 0.0000 0.0000  4 Li 2.33
Au: 0.5000 0.5000 0.5000  4 Y 3.29, 8 Li 3.60
Li: 0.0000 0.0000 0.5000  2 Cr 2.33
Li: 0.5000 0.0000 0.0000  2 Cr 2.33

Calculated values
As for the density of states at the Fermi level: 3.486 states/eV/cell. Its formation energy is 626.5 meV per atom. For the total moment, the calculation gives 4.45 μB/cell.



Material: MgCrAu
Method: DFT, PBE-GGA
State: relaxed

Lattice parameters (Å, degrees): 5.0894 5.0894 5.0894 143.47 136.94 57.71
Last column: nearest neighbours and their distance in Å.
Element x y z (fractional)
Au: 0.0031 0.0031 0.0000  5 Cr 2.83-3.06, 5 Mg 2.87-2.98
Cr: 0.6599 0.6599 0.0000  5 Au 2.83-3.06, 5 Mg 2.88-2.92
Mg: 0.3370 0.3370 0.0000  5 Au 2.87-2.98, 5 Cr 2.88-2.92, 2 Mg 3.19

Calculated values
As for the density of states at the Fermi level: 1.203 states/eV/cell. Its formation energy is 23.1 meV per atom. For the total moment, the calculation gives 4.01 μB/cell.